Below is a relaxed Cs5Pb2O5 crystal, with properties calculated at the PBE level.

Calculated values
Density, g/cm³: 5.68
Volume, A^3/atom: 28.24
Formation energy without anion corrections, eV per atom: -1.073

a = 4.257 Å, b = 7.432 Å, c = 11.421 Å
α = 101.29°, β = 90.00°, γ = 106.64°
Positions (direct):
1 Cs 0.500 0.000 0.500
2 Cs 0.641 0.282 0.035
3 Cs 0.753 0.506 0.359
4 Cs 0.247 0.494 0.641
5 Cs 0.359 0.718 0.965
6 Pb 0.018 0.037 0.787
7 Pb 0.982 0.963 0.213
8 O 0.113 0.226 0.352
9 O 0.594 0.187 0.771
10 O 0.406 0.813 0.229
11 O 0.887 0.774 0.648
12 O 0.000 0.000 0.000